A geometry-optimized BeHgAs2 structure, computed with GGA-PBE. Values from VASP.

* symmetry: No. 25
* energy relative to the elements: 0.249 eV/atom
* offset from the most stable computed form: 0.392 eV/f.u.

```
&SYSTEM
  ibrav = 0, nat = 4, ntyp = 3
/
ATOMIC_SPECIES
As 74.92 As.upf
Be 9.01 Be.upf
Hg 200.59 Hg.upf
ATOMIC_POSITIONS angstrom
As 0.000 0.000 0.022
Be 0.000 0.000 2.287
As 1.499 1.852 3.001
Hg 1.499 1.852 5.624
CELL_PARAMETERS angstrom
2.998 0.000 0.000
0.000 3.704 0.000
0.000 0.000 7.290
```